[1]
Compound: PaPd7Au2
Source: Alexandria
Functional: PBE
Structure: optimized geometry

Lattice parameters (Å, degrees): 7.3414 13.5399 4.3859 90.00 90.00 90.00
Space group Cmmm (No. 65)
Asymmetric unit:
Pa1 0.0000 0.0000 0.0000
Pd1 0.0000 0.1876 0.0000
Pd2 0.0000 0.5000 0.5000
Pd3 0.1832 0.1035 0.5000
Au1 0.0000 0.2997 0.5000

## Properties
- total DFT energy (no corrections) (eV per atom) = -5.265

***

[2]
Compound: PaPd4Au3
Source: Alexandria
Functional: PBE
Structure: optimized geometry

Lattice parameters (Å, degrees): 9.9374 4.9483 5.9747 90.00 105.28 90.00
Space group C2 (No. 5)
Asymmetric unit:
Pa1 0.0000 0.0000 0.0000
Pd1 0.0016 0.4933 0.7541
Pd2 0.2498 0.3306 0.1238
Au1 0.0000 0.9779 0.5000
Au2 0.2442 0.3238 0.6250

## Properties
- E above lowest polymorph (meV/atom) = 0

***

[3]
Compound: Pa2Pd7Au
Source: Alexandria
Functional: PBE
Structure: optimized geometry

Lattice parameters (Å, degrees): 7.2869 14.7030 4.0038 90.00 90.00 90.00
Space group Cmmm (No. 65)
Asymmetric unit:
Pa1 0.0000 0.1868 0.0000
Pd1 0.0000 0.0000 0.0000
Pd2 0.0000 0.3093 0.5000
Pd3 0.1918 0.3961 0.0000
Au1 0.0000 0.5000 0.5000

## Properties
- total DFT energy (no corrections) (eV per atom) = -5.981

***

[4]
Compound: PaPd2Au
Source: Alexandria
Functional: PBE
Structure: optimized geometry

Lattice parameters (Å, degrees): 2.9780 2.9780 31.1294 90.00 90.00 120.00
Space group R-3m (No. 166, hexagonal axes)
Asymmetric unit:
Pa1 0.0000 0.0000 0.0000
Pd1 0.0000 0.0000 0.4107
Au1 0.0000 0.0000 0.5000

## Properties
- E above lowest polymorph (meV/atom) = 497

***

[5]
Compound: Pa2Pd5Au
Source: Alexandria
Functional: PBE
Structure: optimized geometry

Lattice parameters (Å, degrees): 6.3514 6.3514 7.3619 90.00 90.00 90.00
Space group I4mm (No. 107)
Asymmetric unit:
Pa1 0.0000 0.5000 0.0000
Pd1 0.0000 0.0000 0.0453
Pd2 0.2164 0.2164 0.7470
Au1 0.0000 0.0000 0.4346

## Properties
- total DFT energy (no corrections) (eV per atom) = -6.562

***

[6]
Compound: PaPd7Au4
Source: Alexandria
Functional: PBE
Structure: optimized geometry

Lattice parameters (Å, degrees): 10.1590 5.0671 9.9647 90.00 120.55 90.00
Space group C2/m (No. 12)
Asymmetric unit:
Pa1 0.0000 0.0000 0.0000
Pd1 0.0000 0.5000 0.0000
Pd2 0.1116 0.0000 0.4551
Pd3 0.1599 0.5000 0.6204
Pd4 0.2240 0.5000 0.9203
Au1 0.0821 0.5000 0.3124
Au2 0.1865 0.0000 0.7683

## Properties
- E above lowest polymorph (meV/atom) = 266

***

[7]
Compound: PaPd7Au4
Source: Alexandria
Functional: PBE
Structure: optimized geometry

Lattice parameters (Å, degrees): 5.0045 5.7747 7.2623 87.52 78.02 89.52
Space group P-1 (No. 2)
Asymmetric unit:
Pa1 0.0000 0.0000 0.0000
Pd1 0.0000 0.5000 0.0000
Pd2 0.2228 0.0057 0.3246
Pd3 0.2699 0.2393 0.6787
Pd4 0.4950 0.7497 0.9979
Au1 0.2185 0.5049 0.3284
Au2 0.2875 0.7427 0.6572

## Properties
- E above lowest polymorph (meV/atom) = 0

***

[8]
Compound: PaPd2Au3
Source: Alexandria
Functional: PBE
Structure: optimized geometry

Lattice parameters (Å, degrees): 6.6126 8.3414 8.3949 90.00 97.08 90.00
Space group C2/c (No. 15)
Asymmetric unit:
Pa1 0.0000 0.1413 0.2500
Pd1 0.1526 0.1910 0.6360
Au1 0.0000 0.4808 0.7500
Au2 0.2478 0.4133 0.0293

## Properties
- E above lowest polymorph (meV/atom) = 0

***

[9]
Compound: PaPdAu
Source: Alexandria
Functional: PBE
Structure: optimized geometry

Lattice parameters (Å, degrees): 5.3236 4.8928 9.2376 90.00 90.00 90.00
Space group Pnma (No. 62)
Asymmetric unit:
Pa1 0.1889 0.2500 0.0027
Pd1 0.1713 0.2500 0.3379
Au1 0.1742 0.2500 0.6723

## Properties
- E above lowest polymorph (meV/atom) = 36

***

[10]
Compound: PaPdAu3
Source: Alexandria
Functional: PBE
Structure: optimized geometry

Lattice parameters (Å, degrees): 5.3131 5.4979 6.9004 90.00 92.65 90.00
Space group P2_1/m (No. 11)
Asymmetric unit:
Pa1 0.1464 0.2500 0.2906
Pd1 0.0947 0.7500 0.0919
Au1 0.3109 0.7500 0.4589
Au2 0.3605 0.0066 0.8157

## Properties
- E above lowest polymorph (meV/atom) = 0

***

[11]
Compound: PaPd2Au
Source: Alexandria
Functional: PBE
Structure: optimized geometry

Lattice parameters (Å, degrees): 5.4878 4.1285 6.9244 90.00 90.10 90.00
Space group Pm (No. 6)
Asymmetric unit:
Pa1 0.0000 0.0000 0.0000
Pa2 0.4997 0.0000 0.4640
Pd1 0.2412 0.5000 0.7132
Pd2 0.4754 0.0000 0.9017
Pd3 0.7414 0.5000 0.7510
Pd4 0.9749 0.0000 0.5621
Au1 0.0923 0.5000 0.3091
Au2 0.5921 0.5000 0.1551

## Properties
- E above lowest polymorph (meV/atom) = 13

***

[12]
Compound: Pa2Pd4Au3
Source: Alexandria
Functional: PBE
Structure: optimized geometry

Lattice parameters (Å, degrees): 7.9505 4.9953 8.7724 90.00 99.82 90.00
Space group C2/m (No. 12)
Asymmetric unit:
Pa1 0.1650 0.0000 0.2690
Pd1 0.0075 0.5000 0.8328
Pd2 0.1676 0.0000 0.5972
Au1 0.0000 0.5000 0.5000
Au2 0.1859 0.0000 0.9247

## Properties
- total DFT energy (no corrections) (eV per atom) = -6.022

***

[13]
Compound: PaPd4Au5
Source: Alexandria
Functional: PBE
Structure: optimized geometry

Lattice parameters (Å, degrees): 13.9343 4.3793 7.2070 90.00 120.71 90.00
Space group C2/m (No. 12)
Asymmetric unit:
Pa1 0.0000 0.0000 0.0000
Pd1 0.0279 0.5000 0.7851
Pd2 0.1761 0.0000 0.9431
Au1 0.0000 0.0000 0.5000
Au2 0.1663 0.5000 0.6146
Au3 0.1814 0.5000 0.2433

## Properties
- total DFT energy (no corrections) (eV per atom) = -4.934

***

[14]
Compound: PaPd5Au5
Source: Alexandria
Functional: PBE
Structure: optimized geometry

Lattice parameters (Å, degrees): 5.6460 5.6706 6.7354 77.74 77.68 75.28
Space group P-1 (No. 2)
Asymmetric unit:
Pa1 0.0000 0.0000 0.0000
Pd1 0.0000 0.5000 0.0000
Pd2 0.1265 0.6789 0.3363
Pd3 0.2636 0.8154 0.6758
Au1 0.2467 0.1629 0.3099
Au2 0.3746 0.2912 0.6867
Au3 0.5000 0.5000 0.0000

## Properties
- total DFT energy (no corrections) (eV per atom) = -5.030

***

[15]
Compound: PmPaPdAu
Source: Alexandria
Functional: PBE
Structure: optimized geometry

Lattice parameters (Å, degrees): 7.2087 7.2087 7.2087 90.00 90.00 90.00
Space group F-43m (No. 216)
Asymmetric unit:
Pm1 0.0000 0.0000 0.0000
Pa1 0.0000 0.0000 0.5000
Pd1 0.2500 0.2500 0.7500
Au1 0.2500 0.2500 0.2500

## Properties
- total DFT energy (no corrections) (eV per atom) = -6.107

***

[16]
Compound: PaPdPt2Au
Source: Alexandria
Functional: PBE
Structure: optimized geometry

Lattice parameters (Å, degrees): 4.3083 10.7976 8.3173 90.00 90.00 90.00
Space group Cmcm (No. 63)
Asymmetric unit:
Pa1 0.0000 0.0386 0.2500
Pd1 0.0000 0.5000 0.0000
Pt1 0.0000 0.1738 0.5299
Au1 0.0000 0.3320 0.2500

## Properties
- total DFT energy (no corrections) (eV per atom) = -6.637

***

[17]
Compound: PuPaPdAu
Source: Alexandria
Functional: PBE
Structure: optimized geometry

Lattice parameters (Å, degrees): 7.1375 7.1375 7.1375 90.00 90.00 90.00
Space group F-43m (No. 216)
Asymmetric unit:
Pu1 0.0000 0.0000 0.0000
Pa1 0.0000 0.0000 0.5000
Pd1 0.2500 0.2500 0.7500
Au1 0.2500 0.2500 0.2500

## Properties
- E above lowest polymorph (meV/atom) = 222

***

[18]
Compound: PuPaPdAu
Source: Alexandria
Functional: PBE
Structure: optimized geometry

Lattice parameters (Å, degrees): 6.8586 6.8586 6.8586 90.00 90.00 90.00
Space group F-43m (No. 216)
Asymmetric unit:
Pu1 0.0000 0.0000 0.0000
Pa1 0.2500 0.2500 0.7500
Pd1 0.2500 0.2500 0.2500
Au1 0.0000 0.0000 0.5000

## Properties
- E above lowest polymorph (meV/atom) = 0

***

[19]
Compound: ScPaPdAu
Source: Alexandria
Functional: PBE
Structure: optimized geometry

Lattice parameters (Å, degrees): 6.9799 6.9799 6.9799 90.00 90.00 90.00
Space group F-43m (No. 216)
Asymmetric unit:
Sc1 0.0000 0.0000 0.0000
Pa1 0.0000 0.0000 0.5000
Pd1 0.2500 0.2500 0.2500
Au1 0.2500 0.2500 0.7500

## Properties
- total DFT energy (no corrections) (eV per atom) = -6.543

***

[20]
Compound: SmPaPdAu
Source: Alexandria
Functional: PBE
Structure: optimized geometry

Lattice parameters (Å, degrees): 7.1933 7.1933 7.1933 90.00 90.00 90.00
Space group F-43m (No. 216)
Asymmetric unit:
Sm1 0.0000 0.0000 0.0000
Pa1 0.0000 0.0000 0.5000
Pd1 0.2500 0.2500 0.2500
Au1 0.2500 0.2500 0.7500

## Properties
- total DFT energy (no corrections) (eV per atom) = -6.111

***

[21]
Compound: PaSnPdAu
Source: Alexandria
Functional: PBE
Structure: optimized geometry

Lattice parameters (Å, degrees): 6.9666 6.9666 6.9666 90.00 90.00 90.00
Space group F-43m (No. 216)
Asymmetric unit:
Pa1 0.0000 0.0000 0.0000
Sn1 0.0000 0.0000 0.5000
Pd1 0.2500 0.2500 0.7500
Au1 0.2500 0.2500 0.2500

## Properties
- total DFT energy (no corrections) (eV per atom) = -6.007

***

[22]
Compound: Sr2PaPd3Au12
Source: Alexandria
Functional: PBE
Structure: optimized geometry

Lattice parameters (Å, degrees): 7.2506 7.2506 27.9907 90.00 90.00 120.00
Space group R-3m (No. 166, hexagonal axes)
Asymmetric unit:
Sr1 0.0000 0.0000 0.1441
Pa1 0.0000 0.0000 0.5000
Pd1 0.0000 0.5000 0.0000
Au1 0.0061 0.5031 0.8984
Au2 0.0754 0.5377 0.6211

## Properties
- total DFT energy (no corrections) (eV per atom) = -3.855

***

[23]
Compound: TbPaPdAu
Source: Alexandria
Functional: PBE
Structure: optimized geometry

Lattice parameters (Å, degrees): 7.1448 7.1448 7.1448 90.00 90.00 90.00
Space group F-43m (No. 216)
Asymmetric unit:
Tb1 0.0000 0.0000 0.0000
Pa1 0.0000 0.0000 0.5000
Pd1 0.2500 0.2500 0.7500
Au1 0.2500 0.2500 0.2500

## Properties
- total DFT energy (no corrections) (eV per atom) = -6.129

***

[24]
Compound: TmPaPdAu
Source: Alexandria
Functional: PBE
Structure: optimized geometry

Lattice parameters (Å, degrees): 7.0957 7.0957 7.0957 90.00 90.00 90.00
Space group F-43m (No. 216)
Asymmetric unit:
Tm1 0.0000 0.0000 0.0000
Pa1 0.0000 0.0000 0.5000
Pd1 0.2500 0.2500 0.7500
Au1 0.2500 0.2500 0.2500

## Properties
- total DFT energy (no corrections) (eV per atom) = -6.120

***

[25]
Compound: UPaPdAu
Source: Alexandria
Functional: PBE
Structure: optimized geometry

Lattice parameters (Å, degrees): 6.8545 6.8545 6.8545 90.00 90.00 90.00
Space group F-43m (No. 216)
Asymmetric unit:
U1 0.0000 0.0000 0.0000
Pa1 0.2500 0.2500 0.7500
Pd1 0.0000 0.0000 0.5000
Au1 0.2500 0.2500 0.2500

## Properties
- total DFT energy (no corrections) (eV per atom) = -7.667

***

no.,magnetic moment (μB/cell)
1,0.00
2,0.00
3,0.00
4,0.00
5,0.00
6,0.00
7,0.00
8,0.00
9,0.00
10,0.00
11,0.00
12,0.00
13,0.00
14,0.00
15,4.37
16,0.00
17,27.12
18,24.20
19,4.24
20,4.28
21,0.00
22,0.00
23,4.08
24,3.35
25,16.07